A plane-wave DFT calculation with GGA-PBE was carried out for a relaxed NdEr3C2 crystal.

Computed properties:
As for the space group: No. 166. As for the calculated formation energy: -0.250 eV/atom.

Unit cell a=13.0313 b=13.0315 c=7.4459 alpha=28.93 beta=28.93 gamma=32.07
Positions (direct):
Nd (0.2472, 0.2472, 0.2528)
Nd (0.7528, 0.7528, 0.7472)
Er (0.2616, 0.7661, 0.7338)
Er (0.7661, 0.2616, 0.7338)
Er (0.2616, 0.2617, 0.7425)
Er (0.2339, 0.7384, 0.2662)
Er (0.7384, 0.2339, 0.2662)
Er (0.7383, 0.7383, 0.2575)
C (0.0000, 0.0000, 0.0000)
C (0.5000, 0.0000, 0.0000)
C (0.5000, 0.5000, 0.0000)
C (0.0000, 0.5000, 0.0000)

A plane-wave DFT calculation with GGA-PBE was carried out for a relaxed Nd2Er2Pb2C crystal.

Computed properties:
As for the space group: No. 139. As for the calculated formation energy: -0.603 eV/atom.

Unit cell a=4.8278 b=4.8278 c=8.9791 alpha=105.60 beta=105.60 gamma=90.00
Positions (direct):
Nd (0.1591, 0.1591, 0.3182)
Nd (0.8409, 0.8409, 0.6818)
Er (0.0000, 0.5000, 0.0000)
Er (0.5000, 0.0000, 0.0000)
Pb (0.3624, 0.3625, 0.7249)
Pb (0.6375, 0.6375, 0.2751)
C (0.0000, 0.0000, 0.0000)

A plane-wave DFT calculation with GGA-PBE was carried out for a relaxed Nd2ErPbC crystal.

Computed properties:
As for the space group: No. 123. As for the calculated formation energy: -0.443 eV/atom.

Unit cell a=4.8781 b=5.1427 c=5.1427 alpha=90.00 beta=90.00 gamma=90.00
Positions (direct):
Nd (0.0000, 0.0000, 0.5000)
Nd (0.0000, 0.5000, 0.0000)
Er (0.5000, 0.0000, 0.0000)
Pb (0.5000, 0.5000, 0.5000)
C (0.0000, 0.0000, 0.0000)

A plane-wave DFT calculation with GGA-PBE was carried out for a relaxed Nd2Er2Sb2C crystal.

Computed properties:
As for the space group: No. 139. Its uncorrected formation energy is -855 meV/atom.

Unit cell a=4.7526 b=4.7526 c=8.8333 alpha=105.61 beta=105.61 gamma=90.00
Positions (direct):
Nd (0.1633, 0.1633, 0.3265)
Nd (0.8367, 0.8367, 0.6735)
Er (0.0000, 0.5000, 0.0000)
Er (0.5000, 0.0000, 0.0000)
Sb (0.3639, 0.3639, 0.7279)
Sb (0.6361, 0.6361, 0.2721)
C (0.0000, 0.0000, 0.0000)

A plane-wave DFT calculation with GGA-PBE was carried out for a relaxed NdErCSe crystal.

Computed properties:
As for the space group: No. 160. Its uncorrected formation energy is -1047 meV/atom.

Unit cell a=3.7881 b=3.7881 c=7.1804 alpha=90.01 beta=105.29 gamma=120.00
Positions (direct):
Nd (0.5041, 0.1500, 0.6694)
Er (0.1054, 0.9508, 0.0715)
C (0.3100, 0.5527, 0.8781)
Se (0.9584, 0.3772, 0.3506)

A plane-wave DFT calculation with GGA-PBE was carried out for a relaxed NdEr2SnC crystal.

Computed properties:
As for the space group: No. 123. As for the calculated formation energy: -0.577 eV/atom.

Unit cell a=5.0970 b=4.8568 c=4.8568 alpha=90.00 beta=90.00 gamma=90.00
Positions (direct):
Nd (0.5000, 0.0000, 0.0000)
Er (0.0000, 0.0000, 0.5000)
Er (0.0000, 0.5000, 0.0000)
Sn (0.5000, 0.5000, 0.5000)
C (0.0000, 0.0000, 0.0000)

A plane-wave DFT calculation with GGA-PBE was carried out for a relaxed Nd2ErTc2C4 crystal.

Computed properties:
As for the space group: No. 12. As for the calculated formation energy: -0.042 eV/atom.

Unit cell a=3.5230 b=7.0784 c=6.1026 alpha=107.39 beta=90.00 gamma=104.41
Positions (direct):
Nd (0.8676, 0.7352, 0.4685)
Nd (0.1324, 0.2648, 0.5315)
Er (0.0000, 0.0000, 0.0000)
Tc (0.3213, 0.6427, 0.9991)
Tc (0.6787, 0.3573, 0.0009)
C (0.7814, 0.5627, 0.8038)
C (0.2186, 0.4373, 0.1962)
C (0.4537, 0.9074, 0.2365)
C (0.5463, 0.0926, 0.7635)

A plane-wave DFT calculation with GGA-PBE was carried out for a relaxed NdErTeC crystal.

Computed properties:
As for the space group: No. 160. Its uncorrected formation energy is -786 meV/atom.

Unit cell a=3.8659 b=3.8663 c=7.5416 alpha=90.01 beta=104.85 gamma=120.00
Positions (direct):
Nd (0.5119, 0.1539, 0.6811)
Er (0.0954, 0.9458, 0.0565)
Te (0.9605, 0.3783, 0.3537)
C (0.3101, 0.5528, 0.8784)

A plane-wave DFT calculation with GGA-PBE was carried out for a relaxed NdEr2TlC crystal.

Computed properties:
As for the space group: No. 123. As for the calculated formation energy: -0.401 eV/atom.

Unit cell a=5.1278 b=4.8879 c=4.8879 alpha=90.00 beta=90.00 gamma=90.00
Positions (direct):
Nd (0.5000, 0.0000, 0.0000)
Er (0.0000, 0.0000, 0.5000)
Er (0.0000, 0.5000, 0.0000)
Tl (0.5000, 0.5000, 0.5000)
C (0.0000, 0.0000, 0.0000)

A plane-wave DFT calculation with GGA-PBE was carried out for a relaxed ErNi4C2 crystal.

Computed properties:
As for the space group: No. 65. As for the calculated formation energy: -0.060 eV/atom.

Unit cell a=3.4824 b=3.4697 c=6.6702 alpha=105.08 beta=90.00 gamma=90.00
Positions (direct):
Er (0.0000, 0.0000, 0.0000)
Ni (0.5000, 0.8241, 0.6482)
Ni (0.0000, 0.6732, 0.3465)
Ni (0.5000, 0.1759, 0.3518)
Ni (0.0000, 0.3268, 0.6535)
C (0.5000, 0.6096, 0.2193)
C (0.5000, 0.3904, 0.7807)

A plane-wave DFT calculation with GGA-PBE was carried out for a relaxed Er11Ni60C6 crystal.

Computed properties:
As for the space group: No. 229. As for the calculated formation energy: -0.284 eV/atom.

Unit cell a=10.7532 b=10.7532 c=10.7532 alpha=109.47 beta=109.47 gamma=109.47
Positions (direct):
Er (0.0000, 0.0000, 0.3370)
Er (0.0000, 0.3370, 0.0000)
Er (0.3370, 0.0000, 0.0000)
Er (0.6630, 0.6630, 0.6630)
Er (0.0000, 0.0000, 0.6630)
Er (0.0000, 0.6630, 0.0000)
Er (0.6630, 0.0000, 0.0000)
Er (0.3370, 0.3370, 0.3370)
Er (0.5000, 0.5000, 0.0000)
Er (0.5000, 0.0000, 0.5000)
Er (0.0000, 0.5000, 0.5000)
Ni (0.0000, 0.7673, 0.4187)
Ni (0.2327, 0.2327, 0.6514)
Ni (0.7673, 0.0000, 0.4187)
Ni (0.0000, 0.4187, 0.7673)
Ni (0.7673, 0.4187, 0.0000)
Ni (0.2327, 0.6514, 0.2327)
Ni (0.6514, 0.2327, 0.2327)
Ni (0.4187, 0.7673, 0.0000)
Ni (0.4187, 0.0000, 0.7673)
Ni (0.3486, 0.5813, 0.5813)
Ni (0.5813, 0.5813, 0.3486)
Ni (0.5813, 0.3486, 0.5813)
Ni (0.0000, 0.2327, 0.5813)
Ni (0.7673, 0.7673, 0.3486)
Ni (0.2327, 0.0000, 0.5813)
Ni (0.0000, 0.5813, 0.2327)
Ni (0.2327, 0.5813, 0.0000)
Ni (0.7673, 0.3486, 0.7673)
Ni (0.3486, 0.7673, 0.7673)
Ni (0.5813, 0.2327, 0.0000)
Ni (0.5813, 0.0000, 0.2327)
Ni (0.6514, 0.4187, 0.4187)
Ni (0.4187, 0.4187, 0.6514)
Ni (0.4187, 0.6514, 0.4187)
Ni (0.1479, 0.3195, 0.4673)
Ni (0.6805, 0.8284, 0.1479)
Ni (0.1716, 0.8521, 0.3195)
Ni (0.8521, 0.1716, 0.3195)
Ni (0.3195, 0.1479, 0.4673)
Ni (0.8284, 0.6805, 0.1479)
Ni (0.8521, 0.3195, 0.1716)
Ni (0.3195, 0.4673, 0.1479)
Ni (0.8284, 0.1479, 0.6805)
Ni (0.1479, 0.4673, 0.3195)
Ni (0.6805, 0.1479, 0.8284)
Ni (0.1716, 0.3195, 0.8521)
Ni (0.1479, 0.6805, 0.8284)
Ni (0.3195, 0.1716, 0.8521)
Ni (0.4673, 0.1479, 0.3195)
Ni (0.1479, 0.8284, 0.6805)
Ni (0.3195, 0.8521, 0.1716)
Ni (0.4673, 0.3195, 0.1479)
Ni (0.8521, 0.6805, 0.5327)
Ni (0.6805, 0.5327, 0.8521)
Ni (0.5327, 0.8521, 0.6805)
Ni (0.8521, 0.5327, 0.6805)
Ni (0.6805, 0.8521, 0.5327)
Ni (0.5327, 0.6805, 0.8521)
Ni (0.8569, 0.8569, 0.0000)
Ni (0.1431, 0.0000, 0.1431)
Ni (0.0000, 0.1431, 0.1431)
Ni (0.1431, 0.1431, 0.0000)
Ni (0.8569, 0.0000, 0.8569)
Ni (0.0000, 0.8569, 0.8569)
Ni (0.7500, 0.2500, 0.5000)
Ni (0.7500, 0.5000, 0.2500)
Ni (0.5000, 0.2500, 0.7500)
Ni (0.2500, 0.5000, 0.7500)
Ni (0.2500, 0.7500, 0.5000)
Ni (0.5000, 0.7500, 0.2500)
C (0.7087, 0.7087, 0.0000)
C (0.2913, 0.0000, 0.2913)
C (0.0000, 0.2913, 0.2913)
C (0.2913, 0.2913, 0.0000)
C (0.7087, 0.0000, 0.7087)
C (0.0000, 0.7087, 0.7087)

A plane-wave DFT calculation with GGA-PBE was carried out for a relaxed ErNi2C crystal.

Computed properties:
As for the space group: No. 166. As for the calculated formation energy: 0.151 eV/atom.

Unit cell a=3.5319 b=3.5319 c=5.2662 alpha=70.41 beta=70.41 gamma=60.00
Positions (direct):
Ni (0.7038, 0.7038, 0.8887)
Ni (0.2962, 0.2962, 0.1113)
C (0.0000, 0.0000, 0.0000)
Er (0.5000, 0.5000, 0.5000)